Entry P
Below is a geometry-optimized Ni2BS structure, with properties calculated at the PBE-GGA level.

Cell and atoms, written as CIF:
```
data_Ni2BS
_cell_length_a 4.4274
_cell_length_b 4.4274
_cell_length_c 10.7011
_cell_angle_alpha 90.00
_cell_angle_beta 90.00
_cell_angle_gamma 90.00
_space_group_name_H-M_alt 'I -4 2 d'
_space_group_IT_number 122
_space_group_name_Hall 'I -4 2bw'
loop_
_atom_site_label
_atom_site_type_symbol
_atom_site_fract_x
_atom_site_fract_y
_atom_site_fract_z
_atom_site_occupancy
Ni1 Ni 0.1961 0.2500 0.1250 1
B1 B 0.0000 0.0000 0.0000 1
S1 S 0.0000 0.0000 0.5000 1
```

Results
**DOS at the Fermi energy**: 0.658 states/eV per atom
**Magnetic moment**: 0.0 μB per formula unit

---

Entry Q
Below is a geometry-optimized Ni2BS structure, with properties calculated at the PBE-GGA level.

Cell and atoms, written as CIF:
```
data_Ni2BS
_cell_length_a 5.4834
_cell_length_b 5.4834
_cell_length_c 5.4834
_cell_angle_alpha 90.00
_cell_angle_beta 90.00
_cell_angle_gamma 90.00
_space_group_name_H-M_alt 'F m -3 m'
_space_group_IT_number 225
_space_group_name_Hall '-F 4 2 3'
loop_
_atom_site_label
_atom_site_type_symbol
_atom_site_fract_x
_atom_site_fract_y
_atom_site_fract_z
_atom_site_occupancy
Ni1 Ni 0.2500 0.2500 0.2500 1
B1 B 0.0000 0.0000 0.0000 1
S1 S 0.0000 0.0000 0.5000 1
```

Results
**DOS at the Fermi energy**: 0.827 states/eV per atom
**Magnetic moment**: 0.0 μB per formula unit

---

entry P wins, 314 meV/atom ahead of the next structure.

---

Entry P
Below is a geometry-optimized Ni2BSb structure, with properties calculated at the PBE-GGA level.

Cell and atoms, written as CIF:
```
data_Ni2BSb
_cell_length_a 4.5126
_cell_length_b 4.5126
_cell_length_c 11.8894
_cell_angle_alpha 90.00
_cell_angle_beta 90.00
_cell_angle_gamma 90.00
_space_group_name_H-M_alt 'I -4 2 d'
_space_group_IT_number 122
_space_group_name_Hall 'I -4 2bw'
loop_
_atom_site_label
_atom_site_type_symbol
_atom_site_fract_x
_atom_site_fract_y
_atom_site_fract_z
_atom_site_occupancy
Ni1 Ni 0.1126 0.2500 0.1250 1
B1 B 0.0000 0.0000 0.0000 1
Sb1 Sb 0.0000 0.0000 0.5000 1
```

Results
**DOS at the Fermi energy**: 0.512 states/eV per atom
**Magnetic moment**: 0.0 μB per formula unit

---

Entry Q
Below is a geometry-optimized Ni2BSb structure, with properties calculated at the PBE-GGA level.

Cell and atoms, written as CIF:
```
data_Ni2BSb
_cell_length_a 5.8650
_cell_length_b 5.8650
_cell_length_c 5.8650
_cell_angle_alpha 90.00
_cell_angle_beta 90.00
_cell_angle_gamma 90.00
_space_group_name_H-M_alt 'F m -3 m'
_space_group_IT_number 225
_space_group_name_Hall '-F 4 2 3'
loop_
_atom_site_label
_atom_site_type_symbol
_atom_site_fract_x
_atom_site_fract_y
_atom_site_fract_z
_atom_site_occupancy
Ni1 Ni 0.2500 0.2500 0.2500 1
B1 B 0.0000 0.0000 0.0000 1
Sb1 Sb 0.0000 0.0000 0.5000 1
```

Results
**DOS at the Fermi energy**: 0.491 states/eV per atom
**Magnetic moment**: 0.0 μB per formula unit

---

entry P wins, 345 meV/atom ahead of the next structure.

---

Entry P
Below is a geometry-optimized ScNiB3 structure, with properties calculated at the PBE-GGA level.

Cell and atoms, written as CIF:
```
data_ScNiB3
_cell_length_a 3.7800
_cell_length_b 3.7800
_cell_length_c 3.7800
_cell_angle_alpha 90.00
_cell_angle_beta 90.00
_cell_angle_gamma 90.00
_space_group_name_H-M_alt 'P m -3 m'
_space_group_IT_number 221
_space_group_name_Hall '-P 4 2 3'
loop_
_atom_site_label
_atom_site_type_symbol
_atom_site_fract_x
_atom_site_fract_y
_atom_site_fract_z
_atom_site_occupancy
Sc1 Sc 0.0000 0.0000 0.0000 1
Ni1 Ni 0.5000 0.5000 0.5000 1
B1 B 0.0000 0.5000 0.5000 1
```

Results
**DOS at the Fermi energy**: 0.443 states/eV per atom
**Magnetic moment**: 0.0 μB per formula unit

---

Entry Q
Below is a geometry-optimized ScNiB3 structure, with properties calculated at the PBE-GGA level.

Cell and atoms, written as CIF:
```
data_ScNiB3
_cell_length_a 3.3517
_cell_length_b 17.8695
_cell_length_c 3.0819
_cell_angle_alpha 90.00
_cell_angle_beta 90.00
_cell_angle_gamma 90.00
_space_group_name_H-M_alt 'C m c m'
_space_group_IT_number 63
_space_group_name_Hall '-C 2c 2'
loop_
_atom_site_label
_atom_site_type_symbol
_atom_site_fract_x
_atom_site_fract_y
_atom_site_fract_z
_atom_site_occupancy
Sc1 Sc 0.0000 0.0763 0.2500 1
Ni1 Ni 0.0000 0.2088 0.7500 1
B1 B 0.0000 0.3226 0.7500 1
B2 B 0.0000 0.3719 0.2500 1
B3 B 0.0000 0.4747 0.2500 1
```

Results
**DOS at the Fermi energy**: 0.183 states/eV per atom
**Magnetic moment**: 0.0 μB per formula unit

---

Entry R
Below is a geometry-optimized ScNiB3 structure, with properties calculated at the PBE-GGA level.

Cell and atoms, written as CIF:
```
data_ScNiB3
_cell_length_a 4.2221
_cell_length_b 4.2221
_cell_length_c 4.2221
_cell_angle_alpha 90.00
_cell_angle_beta 90.00
_cell_angle_gamma 90.00
_space_group_name_H-M_alt 'P m -3 m'
_space_group_IT_number 221
_space_group_name_Hall '-P 4 2 3'
loop_
_atom_site_label
_atom_site_type_symbol
_atom_site_fract_x
_atom_site_fract_y
_atom_site_fract_z
_atom_site_occupancy
Sc1 Sc 0.0000 0.0000 0.0000 1
Ni1 Ni 0.5000 0.5000 0.5000 1
B1 B 0.0000 0.0000 0.5000 1
```

Results
**DOS at the Fermi energy**: 0.889 states/eV per atom
**Magnetic moment**: 0.4 μB per formula unit

---

entry Q wins, 974 meV/atom ahead of the next structure.

---

Entry P
Below is a geometry-optimized Sc2NiB2 structure, with properties calculated at the PBE-GGA level.

Cell and atoms, written as CIF:
```
data_Sc2NiB2
_cell_length_a 5.9132
_cell_length_b 5.9132
_cell_length_c 3.5497
_cell_angle_alpha 90.00
_cell_angle_beta 90.00
_cell_angle_gamma 90.00
_space_group_name_H-M_alt 'P 4/m b m'
_space_group_IT_number 127
_space_group_name_Hall '-P 4 2ab'
loop_
_atom_site_label
_atom_site_type_symbol
_atom_site_fract_x
_atom_site_fract_y
_atom_site_fract_z
_atom_site_occupancy
Sc1 Sc 0.1804 0.3196 0.0000 1
Ni1 Ni 0.0000 0.0000 0.5000 1
B1 B 0.1064 0.6064 0.5000 1
```

Results
**DOS at the Fermi energy**: 0.614 states/eV per atom
**Magnetic moment**: 0.0 μB per formula unit

---

Entry Q
Below is a geometry-optimized Sc2NiB2 structure, with properties calculated at the PBE-GGA level.

Cell and atoms, written as CIF:
```
data_Sc2NiB2
_cell_length_a 7.0123
_cell_length_b 7.0123
_cell_length_c 2.8082
_cell_angle_alpha 90.00
_cell_angle_beta 90.00
_cell_angle_gamma 90.00
_space_group_name_H-M_alt 'P 4/m b m'
_space_group_IT_number 127
_space_group_name_Hall '-P 4 2ab'
loop_
_atom_site_label
_atom_site_type_symbol
_atom_site_fract_x
_atom_site_fract_y
_atom_site_fract_z
_atom_site_occupancy
Sc1 Sc 0.1393 0.3607 0.0000 1
Ni1 Ni 0.0000 0.0000 0.0000 1
B1 B 0.1689 0.6689 0.5000 1
```

Results
**DOS at the Fermi energy**: 0.791 states/eV per atom
**Magnetic moment**: 0.0 μB per formula unit

---

entry P wins, 962 meV/atom ahead of the next structure.